# Be2CrF (PBE+U, optimized geometry)
data_Be2CrF
_cell_length_a 5.610
_cell_length_b 5.610
_cell_length_c 5.610
_cell_angle_alpha 90.00
_cell_angle_beta 90.00
_cell_angle_gamma 90.00
_symmetry_space_group_name_H-M 'F m -3 m'
_symmetry_Int_Tables_number 225
_symmetry_space_group_name_Hall '-F 4 2 3'
loop_
_atom_site_label
_atom_site_fract_x
_atom_site_fract_y
_atom_site_fract_z
_atom_site_occupancy
Be1 0.250 0.250 0.250 1
Cr1 0.000 0.000 0.000 1
F1 0.000 0.000 0.500 1
# * total magnetic moment: 0.00 μB/f.u.
# * calculated total energy: -3.2683 eV per atom
# * density: 3349 kg/m³
# * excess energy over the best structure of this formula in the dataset: 1.039 eV/atom